Entry 1:
K2MgCr: optimized geometry, PBE.

```
K2MgCr
1.0
9.9002 0.0000 0.0000
0.0000 9.9002 0.0000
4.9501 4.9501 3.2213
Cr K Mg
2 4 2
Cartesian
0.0000 0.0000 0.0000
9.9002 4.9501 1.6106
7.6594 2.4751 0.8053
2.2408 7.4252 0.8053
7.4252 7.1909 2.4160
12.3753 12.6095 2.4160
4.9501 4.9501 0.0000
4.9501 9.9002 1.6106
```

Values from the calculation:
Spin magnetization, μB per atom: 1.273
Calculated total energy, eV per atom: -2.55
Volume, A^3/atom: 39.47

Entry 2:
V2OsRh: optimized geometry, PBE.

```
V2OsRh
1.0
3.4982 0.0000 0.0000
0.0000 3.9796 0.0000
0.0000 0.0000 3.9796
Rh Os V
1 1 2
Cartesian
1.7491 0.0000 0.0000
1.7491 1.9898 1.9898
0.0000 0.0000 1.9898
0.0000 1.9898 0.0000
```

Values from the calculation:
Spin magnetization, μB per atom: 0.089
Calculated total energy, eV per atom: -9.45
Volume, A^3/atom: 13.85

Entry 3:
RbMg2Be: optimized geometry, PBE.

```
RbMg2Be
1.0
-5.0042 -3.7957 -1.2200
2.2066 -4.2674 4.2259
-5.2347 -0.6996 6.8706
Be Mg Rb
2 4 2
Cartesian
-1.3988 -4.0316 1.5030
-2.2135 -4.4993 6.2998
-2.9067 -2.1296 1.7891
-1.8089 -4.2675 3.9007
-4.4223 -4.6176 7.3390
-6.9269 -6.5107 6.7243
0.0000 0.0000 0.0000
-5.8189 -4.2634 3.5768
```

Values from the calculation:
Spin magnetization, μB per atom: 0.000
Calculated total energy, eV per atom: -1.40
Volume, A^3/atom: 37.82

Entry 4:
CaTi: optimized geometry, PBE.

```
CaTi
1.0
4.6000 0.0000 0.0000
0.0000 9.7894 0.0000
0.0000 0.0000 7.7628
Ca Ti
6 6
Cartesian
2.3000 7.9680 5.9745
2.3000 1.8214 5.9745
2.3000 3.0733 2.0931
2.3000 6.7161 2.0931
0.0000 0.0000 0.7094
0.0000 4.8947 4.5908
0.0000 3.6283 7.6346
0.0000 6.1611 7.6346
0.0000 8.5230 3.7532
0.0000 1.2664 3.7532
2.3000 0.0000 3.1390
2.3000 4.8947 7.0204
```

Values from the calculation:
Spin magnetization, μB per atom: 0.306
Calculated total energy, eV per atom: -4.47
Energy above the most stable polymorph in this dataset, eV/atom: 0.029
Volume, A^3/atom: 29.13

Entry 5:
LiCaW2: optimized geometry, PBE.

```
LiCaW2
1.0
5.1624 0.0000 0.0000
0.0000 3.7892 0.0000
0.0000 0.0000 3.7892
Ca Li W
1 1 2
Cartesian
2.5812 1.8946 0.0000
2.5812 0.0000 1.8946
0.0000 0.0000 0.0000
0.0000 1.8946 1.8946
```

Values from the calculation:
Spin magnetization, μB per atom: 0.000
Calculated total energy, eV per atom: -6.69
Energy above the most stable polymorph in this dataset, eV/atom: 0.243
Volume, A^3/atom: 18.53

Entry 6:
AcLa2Sc: optimized geometry, PBE.

```
AcLa2Sc
1.0
3.6325 0.0000 0.0000
1.8162 3.1458 0.0000
1.8162 1.0486 12.7393
Sc Ac La
1 1 2
Cartesian
3.6325 2.0972 6.3696
0.0000 0.0000 0.0000
1.8162 1.0486 9.1180
5.4487 3.1458 3.6212
```

Values from the calculation:
Spin magnetization, μB per atom: 0.001
Calculated total energy, eV per atom: -4.86
Energy above the most stable polymorph in this dataset, eV/atom: 0.156
Volume, A^3/atom: 36.39

| no. | N(E_F) (states/eV per cell) |
| --- | --- |
| 1 | 4.94 |
| 2 | 5.71 |
| 3 | 6.77 |
| 4 | 15.52 |
| 5 | 4.03 |
| 6 | 8.59 |